Material: HoBeSi2Ni2
Method: DFT, PBE
State: relaxed

Properties
Energy relative to the elements, uncorrected ... -0.073 eV per atom
Total moment ... 0.00 μB per cell
Raw total energy ... -5.192 eV per atom
N(E_F) ... 4.07 states/eV/f.u.

a = 4.1688 Å, b = 4.1688 Å, c = 5.0926 Å
α = 90.00°, β = 90.00°, γ = 90.00°
Space group P4/mmm (No. 123)
Symmetry-distinct sites (fractional):
Ho (0.0000, 0.0000, 0.0000) (multiplicity 1)
Be (0.0000, 0.0000, 0.5000) (multiplicity 1)
Si (0.0000, 0.5000, 0.5000) (multiplicity 2)
Ni (0.5000, 0.5000, 0.2451) (multiplicity 2)